# 1
## TlCdAsO4 (PBE)

Data for a relaxed TlCdAsO4 crystal.

Cell and atoms, written as POSCAR:
```
TlCdAsO4
1.0
7.2241 0.0000 0.0000
3.6121 5.6195 0.2766
3.6121 1.9754 5.2681
Cd O As Tl
2 8 2 2
Cartesian
5.4181 0.9877 2.6341
1.8060 0.9877 2.6341
10.8362 5.8376 4.4009
7.2241 2.1726 1.4471
8.6654 2.9663 4.0786
5.7829 4.6286 1.4661
8.6654 4.6286 1.4661
7.2241 5.4223 4.0976
5.7829 2.9663 4.0786
3.6121 1.7573 1.1438
7.2241 3.8628 0.9071
7.2241 3.7321 4.6376
3.6121 3.7974 2.7724
0.0000 0.0000 0.0000
```

## Properties
Fermi-level density of states	0.093	states/eV per atom
formation energy (no corrections)	-1002	meV per atom
total magnetic moment	0.0	μB per formula unit
space-group type	Imma, No. 74

# 2
## NaScSi (PBE)

Data for a relaxed NaScSi crystal.

Cell and atoms, written as POSCAR:
```
NaScSi
1.0
-3.9179 -1.2489 0.1233
-0.9982 -3.0035 6.5359
0.5294 5.1991 0.8456
Si Na Sc
2 2 2
Cartesian
-3.5843 1.9424 2.7721
-0.7870 -0.3114 0.1941
-1.1857 1.3574 4.4340
-4.1845 -2.7284 5.0696
-1.5988 2.3038 0.8948
-2.7725 -0.6726 2.0717
```

## Properties
Fermi-level density of states	0.620	states/eV per atom
formation energy (no corrections)	-222	meV per atom
total magnetic moment	0.0	μB per formula unit
space-group type	C2/m, No. 12

# 3
## ZrZnSb2 (PBE)

Data for a relaxed ZrZnSb2 crystal.

Cell and atoms, written as POSCAR:
```
ZrZnSb2
1.0
-9.9433 1.0316 4.2267
-10.7905 0.4270 1.0864
-10.1754 -2.0870 3.1471
Zn Sb Zr
1 2 1
Cartesian
-15.3252 -0.3116 4.1947
-7.0633 -0.1436 1.9333
-0.5083 -0.0103 0.1391
-23.4669 -0.4771 6.4231
```

## Properties
Fermi-level density of states	0.806	states/eV per atom
formation energy (no corrections)	16	meV per atom
total magnetic moment	0.0	μB per formula unit
space-group type	R3m, No. 160

# 4
## Li2FeN2 (PBE)

Data for a relaxed Li2FeN2 crystal.

Cell and atoms, written as POSCAR:
```
Li2FeN2
1.0
-0.3588 4.2872 2.1439
-1.9084 -2.0999 3.8799
3.0780 -0.3931 1.3012
N Fe Li
4 2 4
Cartesian
-1.8416 -0.1938 4.2977
-0.7859 -0.3563 1.7514
-0.4256 2.3812 1.7261
-1.4813 2.5436 4.2724
-1.1336 1.0937 3.0119
0.0000 0.0000 0.0000
-0.2745 0.9777 5.2952
0.1835 -0.8593 3.6568
1.0853 0.8165 2.0298
0.6273 2.6536 3.6682
```

## Properties
Fermi-level density of states	0.074	states/eV per atom
formation energy (no corrections)	-187	meV per atom
total magnetic moment	0.0	μB per formula unit
space-group type	P4/mbm, No. 127

# 5
## Zr3NbCr (PBE)

Data for a relaxed Zr3NbCr crystal.

Cell and atoms, written as POSCAR:
```
Zr3NbCr
1.0
5.0253 0.0000 0.0000
0.0000 5.0253 0.0000
0.0000 0.0000 5.0253
Zr Nb Cr
3 1 1
Cartesian
0.0000 0.0000 2.5127
2.5127 0.0000 0.0000
0.0000 2.5127 0.0000
0.0000 0.0000 0.0000
2.5127 2.5127 2.5127
```

## Properties
distance to the lowest polymorph of the same formula	749	meV/atom
formation energy from the elements	1.477	eV/atom
Fermi-level density of states	1.884	states/eV per atom
total magnetic moment	0.1	μB per formula unit
space-group type	Pm-3m, No. 221

# 6
## TlPd7Pb2 (PBE)

Data for a relaxed TlPd7Pb2 crystal.

Cell and atoms, written as POSCAR:
```
TlPd7Pb2
1.0
-3.0358 2.7545 0.1763
-5.5224 -6.0788 -0.1163
3.4251 3.3477 6.6727
Pd Pb Tl
7 2 1
Cartesian
-4.1063 -1.7746 4.7632
-2.3475 0.0783 6.0977
-1.0269 1.7980 1.9694
1.7311 1.5631 5.3874
-2.5666 0.0117 3.3663
-3.8285 -4.2942 1.1689
-2.7856 -0.0549 0.6350
-0.8509 1.8192 4.6681
-4.2822 -1.7957 2.0646
0.0000 0.0000 0.0000
```

## Properties
formation energy from the elements	0.114	eV/atom
Fermi-level density of states	0.619	states/eV per atom
total magnetic moment	0.0	μB per formula unit
space-group type	Cmmm, No. 65